# 1
First-principles (meta-GGA SCAN) data for a crystal of LiTa2S4 relaxed with PBEsol, as listed in the Alexandria database.

Output
Calculated total energy in eV/atom: -26.1671
Symmetry: P-3m1, No. 164
Total magnetic moment in μB per formula unit: 0.00

Lattice parameters (Å, degrees): 3.3142 3.3142 12.4250 90.00 90.00 120.00
Fractional positions:
Li1 0.0000 0.0000 0.0000
Ta1 0.0000 0.0000 0.2598
Ta2 0.0000 0.0000 0.7402
S1 0.3333 0.6667 0.6174
S2 0.3333 0.6667 0.8676
S3 0.6667 0.3333 0.1324
S4 0.6667 0.3333 0.3826

# 2
First-principles (meta-GGA SCAN) data for a crystal of CoTeAsSe2 relaxed with PBEsol, as listed in the Alexandria database.

Output
Calculated total energy in eV/atom: -22.4642
Symmetry: P4/mmm, No. 123
Total magnetic moment in μB per formula unit: 0.01

Lattice parameters (Å, degrees): 4.4614 4.4614 5.2149 90.00 90.00 90.00
Fractional positions:
Co1 0.0000 0.0000 0.0000
Te1 0.0000 0.0000 0.5000
As1 0.5000 0.5000 0.5000
Se1 0.0000 0.5000 0.0000
Se2 0.5000 0.0000 0.0000

# 3
First-principles (meta-GGA SCAN) data for a crystal of Ta2NiRh relaxed with PBEsol, as listed in the Alexandria database.

Output
Symmetry: I4/mmm, No. 139
Calculated formation energy in eV per atom: -0.358
Total magnetic moment in μB per formula unit: 0.00

Lattice parameters (Å, degrees): 3.9128 3.9128 7.6495 90.00 90.00 90.00
Fractional positions:
Ta1 0.0000 0.5000 0.2500
Ta2 0.0000 0.5000 0.7500
Ta3 0.5000 0.0000 0.2500
Ta4 0.5000 0.0000 0.7500
Ni1 0.0000 0.0000 0.0000
Ni2 0.5000 0.5000 0.5000
Rh1 0.0000 0.0000 0.5000
Rh2 0.5000 0.5000 0.0000

# 4
First-principles (meta-GGA SCAN) data for a crystal of ScTl2Cu relaxed with PBEsol, as listed in the Alexandria database.

Output
Symmetry: Cmmm, No. 65
Calculated formation energy in eV per atom: -0.037
Total magnetic moment in μB per formula unit: 0.57

Lattice parameters (Å, degrees): 4.6811 4.6904 7.2491 90.00 90.00 90.00
Fractional positions:
Sc1 0.0000 0.0000 0.0000
Sc2 0.5000 0.5000 0.0000
Tl1 0.0000 0.5000 0.2760
Tl2 0.0000 0.5000 0.7240
Tl3 0.5000 0.0000 0.2760
Tl4 0.5000 0.0000 0.7240
Cu1 0.0000 0.0000 0.5000
Cu2 0.5000 0.5000 0.5000